# 1
A plane-wave DFT calculation with PBE was carried out for PmInSn6 after structural relaxation.

Lattice parameters (Å, degrees): 4.6925 4.6925 9.8988 90.00 90.00 90.00
Last column: nearest neighbours and their distance in Å.
Fractional coordinates of all 8 atoms:
1 Pm 0.0000 0.0000 0.0000  12 Sn 3.32-3.41
2 In 0.0000 0.0000 0.5000  12 Sn 3.32-3.41
3 Sn 0.0000 0.5000 0.2503  8 Sn 3.32-3.41, 2 In 3.41, 2 Pm 3.41
4 Sn 0.0000 0.5000 0.7497  8 Sn 3.32-3.41, 2 In 3.41, 2 Pm 3.41
5 Sn 0.5000 0.0000 0.2503  8 Sn 3.32-3.41, 2 In 3.41, 2 Pm 3.41
6 Sn 0.5000 0.0000 0.7497  8 Sn 3.32-3.41, 2 In 3.41, 2 Pm 3.41
7 Sn 0.5000 0.5000 0.0000  4 Pm 3.32, 8 Sn 3.41
8 Sn 0.5000 0.5000 0.5000  4 In 3.32, 8 Sn 3.41

Computed properties:
Distance to the lowest polymorph of the same formula in meV per atom: 6
Density of states at the Fermi level in states/eV/f.u.: 3.4
Calculated volume in Å³/cell: 218.0
Energy of formation from the pure elements in meV per atom: -207



# 2
A plane-wave DFT calculation with PBE was carried out for CdPb2W2 after structural relaxation.

Lattice parameters (Å, degrees): 5.6187 5.6187 5.6187 121.33 121.33 87.72
Last column: nearest neighbours and their distance in Å.
Fractional coordinates of all 5 atoms:
1 Cd 0.0000 0.0000 0.0000  2 W 2.88
2 Pb 0.2500 0.7500 0.5000  4 W 2.88
3 Pb 0.7500 0.2500 0.5000  4 W 2.88
4 W 0.3555 0.3555 0.0000  1 W 2.34
5 W 0.6445 0.6445 0.0000  1 W 2.34

Computed properties:
Distance to the lowest polymorph of the same formula in meV per atom: 218
Density of states at the Fermi level in states/eV/f.u.: 4.6
Calculated volume in Å³/cell: 122.8
Energy of formation from the pure elements in meV per atom: 1128



# 3
A plane-wave DFT calculation with PBE was carried out for LiPrTl4 after structural relaxation.

Lattice parameters (Å, degrees): 4.7032 4.7032 8.0506 90.00 90.00 90.00
Last column: nearest neighbours and their distance in Å.
Fractional coordinates of all 6 atoms:
1 Li 0.0000 0.0000 0.0000  8 Tl 2.88
2 Pr 0.5000 0.5000 0.5000  8 Tl 3.34
3 Tl 0.0000 0.5000 0.2061  2 Li 2.88
4 Tl 0.0000 0.5000 0.7939  2 Li 2.88
5 Tl 0.5000 0.0000 0.2061  2 Li 2.88
6 Tl 0.5000 0.0000 0.7939  2 Li 2.88

Computed properties:
Density of states at the Fermi level in states/eV/f.u.: 4.5
Calculated volume in Å³/cell: 178.1
Energy of formation from the pure elements in meV per atom: -32